Compound: HoPPtO
Source: OQMD
Functional: PBE
Structure: optimized geometry

Unit cell a=4.0029 b=4.9151 c=6.9668 alpha=90.00 beta=90.00 gamma=90.00
Fractional coordinates of all 8 atoms:
P: 0.5000 0.8313 0.2902
P: 0.5000 0.1687 0.7902
O: 0.0000 0.5629 0.8890
Ho: 0.0000 0.7442 0.6069
Ho: 0.0000 0.2558 0.1069
Pt: 0.5000 0.7790 0.9679
Pt: 0.5000 0.2210 0.4679
O: 0.0000 0.4371 0.3890

For the total energy, the calculation gives -6.471 eV/atom. The space-group type is Pmc2_1, No. 26. The mass density comes out at 9.9 Mg/m³.